A | CoIr6Ru | PBE-GGA | relaxed

The structure belongs to space group P4/mmm (No. 123); the cell edges are 3.8249, 3.8249 and 7.6508 Å and the angles 90.00°, 90.00° and 90.00°. The distinct sites, in fractional coordinates, are Co at (0.0000, 0.0000, 0.0000), Ir at (0.0000, 0.5000, 0.2479), Ir at (0.5000, 0.5000, 0.0000), Ir at (0.5000, 0.5000, 0.5000) and Ru at (0.0000, 0.0000, 0.5000).

Its mass density is 19.5 g/cm³.

B | CoIr6Ru | PBE-GGA | relaxed

The structure belongs to space group C2/m (No. 12); the cell edges are 7.6230, 5.2970 and 6.8047 Å and the angles 90.00°, 111.14° and 90.00°. The distinct sites, in fractional coordinates, are Co at (0.0000, 0.0000, 0.0000), Ir at (0.1359, 0.5000, 0.9237), Ir at (0.1962, 0.2614, 0.2972) and Ru at (0.0000, 0.5000, 0.5000).

Its mass density is 17.0 g/cm³.

So which one wins? Going from most stable to least: A, B.

A | CoIr3Ru | PBE-GGA | relaxed

The structure belongs to space group Pm-3m (No. 221); the cell edges are 4.3737, 4.3737 and 4.3737 Å and the angles 90.00°, 90.00° and 90.00°. The distinct sites, in fractional coordinates, are Co at (0.0000, 0.0000, 0.0000), Ir at (0.0000, 0.0000, 0.5000) and Ru at (0.5000, 0.5000, 0.5000).

Its mass density is 14.6 g/cm³.

B | CoIr3Ru | PBE-GGA | relaxed

The structure belongs to space group C2/m (No. 12); the cell edges are 9.8442, 2.7305 and 10.2798 Å and the angles 90.00°, 93.47° and 90.00°. The distinct sites, in fractional coordinates, are Co at (0.1350, 0.0000, 0.4848), Ir at (0.0326, 0.5000, 0.6732), Ir at (0.0675, 0.0000, 0.1183), Ir at (0.2347, 0.5000, 0.2908) and Ru at (0.1670, 0.5000, 0.9156).

Its mass density is 17.7 g/cm³.

So which one wins? Going from most stable to least: B, A.

A | CoIr3Ru2 | PBE-GGA | relaxed

The structure belongs to space group P2_1/m (No. 11); the cell edges are 5.3698, 3.7915 and 8.0919 Å and the angles 90.00°, 90.26° and 90.00°. The distinct sites, in fractional coordinates, are Co at (0.1257, 0.2500, 0.2529), Ir at (0.1201, 0.2500, 0.9141), Ir at (0.3693, 0.7500, 0.4165), Ir at (0.3755, 0.7500, 0.7519), Ru at (0.1195, 0.2500, 0.5828) and Ru at (0.3743, 0.7500, 0.0802).

Its mass density is 16.9 g/cm³.

B | CoIr3Ru2 | PBE-GGA | relaxed

The structure belongs to space group Cmcm (No. 63); the cell edges are 2.7154, 13.9866 and 8.7144 Å and the angles 90.00°, 90.00° and 90.00°. The distinct sites, in fractional coordinates, are Co at (0.0000, 0.0551, 0.2500), Ir at (0.0000, 0.1636, 0.0041), Ir at (0.0000, 0.3903, 0.2500), Ru at (0.0000, 0.2789, 0.7500) and Ru at (0.0000, 0.5000, 0.0000).

Its mass density is 16.8 g/cm³.

So which one wins? Going from most stable to least: A, B.

A | Co2Ir5Ru2 | PBE-GGA | relaxed

The structure belongs to space group P-1 (No. 2); the cell edges are 4.6251, 4.6305 and 7.0782 Å and the angles 71.18°, 71.44° and 60.12°. The distinct sites, in fractional coordinates, are Co at (0.2258, 0.0563, 0.3307), Ir at (0.0000, 0.5000, 0.0000), Ir at (0.1076, 0.2740, 0.6670), Ir at (0.4383, 0.6168, 0.6662) and Ru at (0.3359, 0.8346, 0.0010).

Its mass density is 17.4 g/cm³.

B | Co2Ir5Ru2 | PBE-GGA | relaxed

The structure belongs to space group Ima2 (No. 46); the cell edges are 11.4715, 9.8666 and 4.6052 Å and the angles 90.00°, 90.00° and 90.00°. The distinct sites, in fractional coordinates, are Co at (0.0000, 0.0000, 0.0000), Co at (0.2500, 0.0521, 0.8654), Ir at (0.0528, 0.1881, 0.6301), Ir at (0.1405, 0.6829, 0.4399), Ir at (0.2500, 0.1816, 0.3484) and Ru at (0.1342, 0.5454, 0.9266).

Its mass density is 16.3 g/cm³.

So which one wins? Going from most stable to least: A, B.

A | Co3IrRu | PBE-GGA | relaxed

The structure belongs to space group Pm-3m (No. 221); the cell edges are 4.3242, 4.3242 and 4.3242 Å and the angles 90.00°, 90.00° and 90.00°. The distinct sites, in fractional coordinates, are Co at (0.0000, 0.0000, 0.5000), Ir at (0.5000, 0.5000, 0.5000) and Ru at (0.0000, 0.0000, 0.0000).

Its mass density is 9.7 g/cm³.

B | Co3IrRu | PBE-GGA | relaxed

The structure belongs to space group Pm-3m (No. 221); the cell edges are 4.4827, 4.4827 and 4.4827 Å and the angles 90.00°, 90.00° and 90.00°. The distinct sites, in fractional coordinates, are Co at (0.0000, 0.0000, 0.5000), Ir at (0.0000, 0.0000, 0.0000) and Ru at (0.5000, 0.5000, 0.5000).

Its mass density is 8.7 g/cm³.

So which one wins? Going from most stable to least: B, A.

A | Co2Ir6Ru | PBE-GGA | relaxed

The structure belongs to space group R3m (No. 160, hexagonal axes); the cell edges are 5.2327, 5.2327 and 18.4360 Å and the angles 90.00°, 90.00° and 120.00°. The distinct sites, in fractional coordinates, are Co at (0.0000, 0.0000, 0.0000), Co at (0.0000, 0.0000, 0.1285), Ir at (0.0093, 0.5046, 0.1776), Ir at (0.0111, 0.5056, 0.9627) and Ru at (0.0000, 0.0000, 0.7394).

Its mass density is 15.6 g/cm³.

B | Co2Ir6Ru | PBE-GGA | relaxed

The structure belongs to space group C2/m (No. 12); the cell edges are 4.6019, 13.5570 and 4.6104 Å and the angles 90.00°, 119.31° and 90.00°. The distinct sites, in fractional coordinates, are Co at (0.0000, 0.1667, 0.0000), Ir at (0.1612, 0.0000, 0.8321), Ir at (0.1614, 0.3300, 0.3231) and Ru at (0.0000, 0.5000, 0.5000).

Its mass density is 18.2 g/cm³.

So which one wins? Going from most stable to least: B, A.

A | CoIr2S2 | PBE-GGA | relaxed

The structure belongs to space group I4/mmm (No. 139); the cell edges are 3.8981, 3.8981 and 10.6610 Å and the angles 90.00°, 90.00° and 90.00°. The distinct sites, in fractional coordinates, are Co at (0.0000, 0.0000, 0.0000), Ir at (0.0000, 0.5000, 0.2500) and S at (0.0000, 0.0000, 0.3781).

Its mass density is 10.4 g/cm³.

B | CoIr2S2 | PBE-GGA | relaxed

The structure belongs to space group P4/mbm (No. 127); the cell edges are 6.4576, 6.4576 and 3.3703 Å and the angles 90.00°, 90.00° and 90.00°. The distinct sites, in fractional coordinates, are Co at (0.0000, 0.0000, 0.0000), Ir at (0.1565, 0.3435, 0.5000) and S at (0.1676, 0.6676, 0.0000).

Its mass density is 12.0 g/cm³.

So which one wins? Going from most stable to least: B, A.

A | CoTeIrS2 | PBE-GGA | relaxed

The structure belongs to space group P4/mmm (No. 123); the cell edges are 4.4774, 4.4774 and 5.8434 Å and the angles 90.00°, 90.00° and 90.00°. The distinct sites, in fractional coordinates, are Co at (0.0000, 0.0000, 0.0000), Te at (0.5000, 0.5000, 0.0000), Ir at (0.5000, 0.5000, 0.5000) and S at (0.0000, 0.5000, 0.5000).

Its mass density is 6.3 g/cm³.

B | CoTeIrS2 | PBE-GGA | relaxed

The structure belongs to space group P4/mmm (No. 123); the cell edges are 5.0481, 5.0481 and 4.6824 Å and the angles 90.00°, 90.00° and 90.00°. The distinct sites, in fractional coordinates, are Co at (0.0000, 0.0000, 0.0000), Te at (0.0000, 0.0000, 0.5000), Ir at (0.5000, 0.5000, 0.0000) and S at (0.0000, 0.5000, 0.5000).

Its mass density is 6.2 g/cm³.

So which one wins? Going from most stable to least: A, B.

A | CoSb2Ir | PBE-GGA | relaxed

The structure belongs to space group R3m (No. 160, hexagonal axes); the cell edges are 3.1587, 3.1587 and 29.4593 Å and the angles 90.00°, 90.00° and 120.00°. The distinct sites, in fractional coordinates, are Co at (0.0000, 0.0000, 0.0000), Sb at (0.0000, 0.0000, 0.2720), Sb at (0.0000, 0.0000, 0.4669) and Ir at (0.0000, 0.0000, 0.7328).

Its mass density is 9.7 g/cm³.

B | CoSb2Ir | PBE-GGA | relaxed

The structure belongs to space group Imm2 (No. 44); the cell edges are 3.0840, 3.9890 and 13.4238 Å and the angles 90.00°, 90.00° and 90.00°. The distinct sites, in fractional coordinates, are Co at (0.0000, 0.0000, 0.0000), Sb at (0.0000, 0.0000, 0.5560), Sb at (0.0000, 0.5000, 0.2952) and Ir at (0.0000, 0.5000, 0.8772).

Its mass density is 9.9 g/cm³.

So which one wins? Going from most stable to least: B, A.

A | CoSb2Ir | PBE-GGA | relaxed

The structure belongs to space group I-42d (No. 122); the cell edges are 5.7232, 5.7232 and 11.8604 Å and the angles 90.00°, 90.00° and 90.00°. The distinct sites, in fractional coordinates, are Co at (0.0000, 0.0000, 0.0000), Sb at (0.2319, 0.2500, 0.1250) and Ir at (0.0000, 0.0000, 0.5000).

Its mass density is 8.5 g/cm³.

B | CoSb2Ir | PBE-GGA | relaxed

The structure belongs to space group P4mm (No. 99); the cell edges are 3.6655, 3.6655 and 5.3669 Å and the angles 90.00°, 90.00° and 90.00°. The distinct sites, in fractional coordinates, are Co at (0.0000, 0.0000, 0.0000), Sb at (0.0000, 0.0000, 0.4962), Sb at (0.5000, 0.5000, 0.8730) and Ir at (0.5000, 0.5000, 0.3566).

Its mass density is 11.4 g/cm³.

So which one wins? Going from most stable to least: B, A.

A | ScCoIr | PBE-GGA | relaxed

The structure belongs to space group P-6m2 (No. 187); the cell edges are 4.1749, 4.1749 and 3.1175 Å and the angles 90.00°, 90.00° and 120.00°. The distinct sites, in fractional coordinates, are Sc at (0.0000, 0.0000, 0.0000), Co at (0.6667, 0.3333, 0.5000) and Ir at (0.3333, 0.6667, 0.5000).

Its mass density is 10.4 g/cm³.

B | ScCoIr | PBE-GGA | relaxed

The structure belongs to space group Imm2 (No. 44); the cell edges are 2.9658, 3.5548 and 8.7366 Å and the angles 90.00°, 90.00° and 90.00°. The distinct sites, in fractional coordinates, are Sc at (0.0000, 0.0000, 0.0000), Co at (0.0000, 0.0000, 0.6812) and Ir at (0.0000, 0.0000, 0.3229).

Its mass density is 10.7 g/cm³.

C | ScCoIr | PBE-GGA | relaxed

The structure belongs to space group F-43m (No. 216); the cell edges are 5.8747, 5.8747 and 5.8747 Å and the angles 90.00°, 90.00° and 90.00°. The distinct sites, in fractional coordinates, are Sc at (0.0000, 0.0000, 0.0000), Co at (0.2500, 0.2500, 0.2500) and Ir at (0.0000, 0.0000, 0.5000).

Its mass density is 9.7 g/cm³.

D | ScCoIr | PBE-GGA | relaxed

The structure belongs to space group F-43m (No. 216); the cell edges are 5.9630, 5.9630 and 5.9630 Å and the angles 90.00°, 90.00° and 90.00°. The distinct sites, in fractional coordinates, are Sc at (0.0000, 0.0000, 0.0000), Co at (0.2500, 0.2500, 0.2500) and Ir at (0.2500, 0.2500, 0.7500).

Its mass density is 9.3 g/cm³.

So which one wins? Going from most stable to least: A, B, C, D.